# BeAlCo2 (PBE, relaxed)
# E_form = -0.76 eV/f.u.
data_BeAlCo2
_cell_length_a 2.555
_cell_length_b 3.762
_cell_length_c 4.617
_cell_angle_alpha 90.00
_cell_angle_beta 105.91
_cell_angle_gamma 90.00
_symmetry_space_group_name_H-M 'P 1 m 1'
_symmetry_Int_Tables_number 6
loop_
_symmetry_equiv_pos_as_xyz
'x,y,z'
'x,-y,z'
loop_
_atom_site_label
_atom_site_type_symbol
_atom_site_fract_x
_atom_site_fract_y
_atom_site_fract_z
_atom_site_occupancy
Be1 Be 0.000 0.000 0.000 1
Al1 Al 0.842 0.500 0.678 1
Co1 Co 0.248 0.000 0.490 1
Co2 Co 0.574 0.500 0.147 1


# AcDySeS2 (PBE, relaxed)
# Raw formation energy = -1.944 eV per atom
data_AcDySeS2
_cell_length_a 4.864
_cell_length_b 4.864
_cell_length_c 6.688
_cell_angle_alpha 90.00
_cell_angle_beta 90.00
_cell_angle_gamma 90.00
_symmetry_space_group_name_H-M 'P 4 m m'
_symmetry_Int_Tables_number 99
loop_
_symmetry_equiv_pos_as_xyz
'x,y,z'
'-y,x,z'
'-x,-y,z'
'y,-x,z'
'-x,y,z'
'y,x,z'
'x,-y,z'
'-y,-x,z'
loop_
_atom_site_label
_atom_site_type_symbol
_atom_site_fract_x
_atom_site_fract_y
_atom_site_fract_z
_atom_site_occupancy
Ac1 Ac 0.000 0.000 0.000 1
Dy1 Dy 0.500 0.500 0.406 1
Se1 Se 0.500 0.500 0.816 1
S1 S 0.000 0.500 0.253 1


# ZrSi2Tc (PBE, relaxed)
# Raw formation energy = -0.292 eV per atom
# ΔE to the lowest computed polymorph = 235 meV/atom
data_ZrSi2Tc
_cell_length_a 3.855
_cell_length_b 3.855
_cell_length_c 8.407
_cell_angle_alpha 90.00
_cell_angle_beta 90.00
_cell_angle_gamma 90.00
_symmetry_space_group_name_H-M 'I -4 m 2'
_symmetry_Int_Tables_number 119
_symmetry_space_group_name_Hall 'I -4 -2'
loop_
_atom_site_label
_atom_site_type_symbol
_atom_site_fract_x
_atom_site_fract_y
_atom_site_fract_z
_atom_site_occupancy
Zr1 Zr 0.000 0.000 0.000 1
Si1 Si 0.000 0.000 0.500 1
Si2 Si 0.000 0.500 0.750 1
Tc1 Tc 0.000 0.500 0.250 1


# RbCa2InF8 (PBE, relaxed)
# Raw formation energy = -3.204 eV per atom
data_RbCa2InF8
_cell_length_a 4.205
_cell_length_b 7.757
_cell_length_c 5.655
_cell_angle_alpha 90.00
_cell_angle_beta 95.47
_cell_angle_gamma 90.00
_symmetry_space_group_name_H-M 'P 1 2/m 1'
_symmetry_Int_Tables_number 10
loop_
_symmetry_equiv_pos_as_xyz
'x,y,z'
'-x,-y,-z'
'-x,y,-z'
'x,-y,z'
loop_
_atom_site_label
_atom_site_type_symbol
_atom_site_fract_x
_atom_site_fract_y
_atom_site_fract_z
_atom_site_occupancy
Rb1 Rb 0.000 0.000 0.000 1
Ca1 Ca 0.500 0.249 0.500 1
In1 In 0.000 0.500 0.000 1
F1 F 0.030 0.298 0.742 1
F2 F 0.455 0.500 0.228 1
F3 F 0.468 0.000 0.714 1


# CaP3N (PBE, relaxed)
# Raw formation energy = 0.409 eV per atom
# ΔE to the lowest computed polymorph = 0 meV/atom
data_CaP3N
_cell_length_a 4.257
_cell_length_b 4.257
_cell_length_c 4.257
_cell_angle_alpha 90.00
_cell_angle_beta 90.00
_cell_angle_gamma 90.00
_symmetry_space_group_name_H-M 'P m -3 m'
_symmetry_Int_Tables_number 221
_symmetry_space_group_name_Hall '-P 4 2 3'
loop_
_atom_site_label
_atom_site_type_symbol
_atom_site_fract_x
_atom_site_fract_y
_atom_site_fract_z
_atom_site_occupancy
Ca1 Ca 0.000 0.000 0.000 1
P1 P 0.000 0.500 0.500 1
N1 N 0.500 0.500 0.500 1


# LiYPd4 (PBE, relaxed)
# E_form = -3.37 eV/f.u.
# ΔE to the lowest computed polymorph = 48 meV/atom
data_LiYPd4
_cell_length_a 9.217
_cell_length_b 4.032
_cell_length_c 5.807
_cell_angle_alpha 90.00
_cell_angle_beta 110.69
_cell_angle_gamma 90.00
_symmetry_space_group_name_H-M 'C 1 2/m 1'
_symmetry_Int_Tables_number 12
loop_
_symmetry_equiv_pos_as_xyz
'x,y,z'
'-x,-y,-z'
'-x,y,-z'
'x,-y,z'
'x+1/2,y+1/2,z'
'-x+1/2,-y+1/2,-z'
'-x+1/2,y+1/2,-z'
'x+1/2,-y+1/2,z'
loop_
_atom_site_label
_atom_site_type_symbol
_atom_site_fract_x
_atom_site_fract_y
_atom_site_fract_z
_atom_site_occupancy
Li1 Li 0.000 0.000 0.000 1
Y1 Y 0.000 0.000 0.500 1
Pd1 Pd 0.159 0.500 0.311 1
Pd2 Pd 0.173 0.500 0.838 1


no.,DOS at the Fermi energy (states/eV per cell)
1,4.2
2,0.0
3,7.0
4,0.0
5,4.0
6,3.8